Record 1
DFT (PBE-GGA) results for a geometry-optimized Mg2TlPt structure.

space group	No. 25
spin magnetization	0.0	μB/f.u.
E_form	-0.34	eV per atom

```
Mg2TlPt
1.0
-2.619 -2.193 -3.321
0.174 -2.704 1.649
-4.231 1.255 2.507
Mg Pt Tl
2 1 1
direct
0.000 0.125 0.950 Mg
0.500 0.125 0.324 Mg
0.000 0.626 0.423 Pt
0.500 0.625 0.803 Tl
```

***

Record 2
DFT (PBE-GGA) results for a geometry-optimized MgTl2Pt structure.

space group	No. 216
spin magnetization	0.0	μB/f.u.
E_form	-0.03	eV per atom

```
MgTl2Pt
1.0
5.007 0.000 0.000
2.504 4.336 0.000
2.504 1.445 4.088
Mg Pt Tl
1 1 2
direct
0.500 0.500 0.500 Mg
0.750 0.750 0.750 Pt
0.000 0.000 0.000 Tl
0.250 0.250 0.250 Tl
```

***

Record 3
DFT (PBE-GGA) results for a geometry-optimized YMgTlPt structure.

space group	No. 216
spin magnetization	0.0	μB/f.u.
E_form	-0.60	eV per atom

```
YMgTlPt
1.0
-0.389 4.695 1.570
0.653 1.074 4.804
4.050 2.473 1.463
Y Tl Mg Pt
1 1 1 1
direct
0.750 0.750 0.750 Y
0.000 0.000 0.000 Tl
0.250 0.250 0.250 Mg
0.500 0.500 0.500 Pt
```

***

Record 4
DFT (PBE-GGA) results for a geometry-optimized Y2MgTlPt structure.

space group	No. 123
spin magnetization	0.0	μB/f.u.
E_form	0.23	eV per atom

```
Y2MgTlPt
1.0
-2.789 4.354 -1.995
-2.986 -2.848 -2.041
-3.164 0.057 4.550
Y Tl Mg Pt
2 1 1 1
direct
0.000 0.000 0.500 Y
0.500 0.000 0.000 Y
0.500 0.500 0.500 Tl
0.000 0.000 0.000 Mg
0.000 0.500 0.000 Pt
```